5
Lattice="-2.320 2.320 8.331 2.320 -2.320 8.331 2.320 2.320 -8.331" Properties=species:S:1:pos:R:3 comment="PBE-GGA KY2Sc2, optimized geometry" de_polymorph_mev_per_atom=346 sg="I4/mmm (139)" e_form_ev_per_atom=0.713 pbc="T T T"
K 0.000 0.000 0.000
Y 2.320 0.000 4.165
Y 0.000 2.320 4.165
Sc 0.000 0.000 6.592
Sc 0.000 0.000 10.069



4
Lattice="4.587 -1.570 0.000 4.587 1.570 0.000 -1.608 0.000 5.964" Properties=species:S:1:pos:R:3 comment="PBE-GGA SrCoW2, optimized geometry" de_polymorph_mev_per_atom=134 sg="Cm (8)" e_form_ev_per_atom=0.800 pbc="T T T"
Sr 0.000 0.000 0.000
Co 6.422 0.000 2.067
W 0.846 0.000 3.651
W 3.586 0.000 2.829



5
Lattice="-1.906 1.906 7.721 1.906 -1.906 7.721 1.906 1.906 -7.721" Properties=species:S:1:pos:R:3 comment="PBE-GGA Na2Cd2Pt, optimized geometry" de_polymorph_mev_per_atom=386 sg="I4/mmm (139)" e_form_ev_per_atom=0.206 pbc="T T T"
Na 1.906 0.000 3.860
Na 0.000 1.906 3.860
Cd 0.000 0.000 1.371
Cd 0.000 0.000 14.071
Pt 0.000 0.000 7.721



4
Lattice="2.577 -3.605 0.000 2.577 3.605 0.000 -0.017 0.000 2.619" Properties=species:S:1:pos:R:3 comment="PBE-GGA CuSi2Ni, optimized geometry" sg="C2/m (12)" e_form_raw_mev_per_atom=-11 pbc="T T T"
Cu 0.000 0.000 0.000
Si 1.280 1.802 1.310
Si 1.280 -1.802 1.310
Ni 2.577 0.000 0.000



Q: Which formula does entry 1 have?
A: KY2Sc2